DFT (PBE) results for crystalline Li4LaY at its relaxed geometry.

Geometry as CIF:
```
data_Li4LaY
_cell_length_a 8.442
_cell_length_b 8.442
_cell_length_c 8.442
_cell_angle_alpha 90.00
_cell_angle_beta 90.00
_cell_angle_gamma 90.00
_symmetry_space_group_name_H-M 'F -4 3 m'
_symmetry_Int_Tables_number 216
_symmetry_space_group_name_Hall 'F -4 2 3'
loop_
_atom_site_label
_atom_site_fract_x
_atom_site_fract_y
_atom_site_fract_z
Li1 0.124 0.124 0.124
La1 0.000 0.000 0.500
Y1 0.250 0.250 0.750
```

The formation energy is 0.1080 eV/atom. The value obtained for the magnetization is 0.0 μB per cell. As for the total DFT energy (no corrections): -73.60 eV for the cell shown.

DFT (PBE) results for crystalline Dy6Ho2ErSc3 at its relaxed geometry.

Geometry as CIF:
```
data_Dy6Ho2ErSc3
_cell_length_a 6.027
_cell_length_b 10.429
_cell_length_c 11.416
_cell_angle_alpha 90.00
_cell_angle_beta 100.11
_cell_angle_gamma 90.00
_symmetry_space_group_name_H-M 'C 1 2/m 1'
_symmetry_Int_Tables_number 12
loop_
_symmetry_equiv_pos_as_xyz
'x,y,z'
'-x,-y,-z'
'-x,y,-z'
'x,-y,z'
'x+1/2,y+1/2,z'
'-x+1/2,-y+1/2,-z'
'-x+1/2,y+1/2,-z'
'x+1/2,-y+1/2,z'
loop_
_atom_site_label
_atom_site_fract_x
_atom_site_fract_y
_atom_site_fract_z
Dy1 0.247 0.000 0.242
Dy2 0.247 0.333 0.242
Ho1 0.000 0.333 0.500
Er1 0.000 0.000 0.500
Sc1 0.000 0.167 0.000
Sc2 0.000 0.500 0.000
```

The formation energy is 0.0429 eV/atom. The value obtained for the magnetization is 0.0 μB per cell. As for the total DFT energy (no corrections): -119.62 eV for the cell shown.

DFT (PBE) results for crystalline YBeOs2 at its relaxed geometry.

Geometry as CIF:
```
data_YBeOs2
_cell_length_a 3.947
_cell_length_b 3.947
_cell_length_c 8.328
_cell_angle_alpha 90.00
_cell_angle_beta 90.00
_cell_angle_gamma 90.00
_symmetry_space_group_name_H-M 'I 4/m m m'
_symmetry_Int_Tables_number 139
_symmetry_space_group_name_Hall '-I 4 2'
loop_
_atom_site_label
_atom_site_fract_x
_atom_site_fract_y
_atom_site_fract_z
Y1 0.000 0.000 0.000
Be1 0.000 0.000 0.500
Os1 0.000 0.500 0.250
```

The formation energy is 0.4713 eV/atom. The value obtained for the magnetization is 0.0 μB per cell. As for the total DFT energy (no corrections): -61.53 eV for the cell shown.

DFT (PBE) results for crystalline PuU2Os at its relaxed geometry.

Geometry as CIF:
```
data_PuU2Os
_cell_length_a 3.050
_cell_length_b 12.158
_cell_length_c 8.334
_cell_angle_alpha 90.00
_cell_angle_beta 90.00
_cell_angle_gamma 90.00
_symmetry_space_group_name_H-M 'C m c m'
_symmetry_Int_Tables_number 63
_symmetry_space_group_name_Hall '-C 2c 2'
loop_
_atom_site_label
_atom_site_fract_x
_atom_site_fract_y
_atom_site_fract_z
Pu1 0.000 0.226 0.250
U1 0.000 0.383 0.511
Os1 0.000 0.029 0.750
```

The formation energy is 0.0596 eV/atom. The value obtained for the magnetization is 21.3 μB per cell. As for the total DFT energy (no corrections): -191.60 eV for the cell shown. The calculation puts the energy above the most stable polymorph in this dataset at 1 meV per atom.

DFT (PBE) results for crystalline TbCeSi2Pt4 at its relaxed geometry.

Geometry as CIF:
```
data_TbCeSi2Pt4
_cell_length_a 4.094
_cell_length_b 4.094
_cell_length_c 9.296
_cell_angle_alpha 90.00
_cell_angle_beta 90.00
_cell_angle_gamma 90.00
_symmetry_space_group_name_H-M 'P 4/m m m'
_symmetry_Int_Tables_number 123
_symmetry_space_group_name_Hall '-P 4 2'
loop_
_atom_site_label
_atom_site_fract_x
_atom_site_fract_y
_atom_site_fract_z
Tb1 0.000 0.000 0.000
Ce1 0.000 0.000 0.500
Si1 0.500 0.500 0.125
Pt1 0.000 0.500 0.265
```

The value obtained for the magnetization is 0.6 μB per cell. As for the total DFT energy (no corrections): -53.08 eV for the cell shown. The raw formation energy is -0.94 eV per atom.

DFT (PBE) results for crystalline BaZn3Pt at its relaxed geometry.

Geometry as CIF:
```
data_BaZn3Pt
_cell_length_a 4.946
_cell_length_b 4.946
_cell_length_c 4.946
_cell_angle_alpha 90.00
_cell_angle_beta 90.00
_cell_angle_gamma 90.00
_symmetry_space_group_name_H-M 'P m -3 m'
_symmetry_Int_Tables_number 221
_symmetry_space_group_name_Hall '-P 4 2 3'
loop_
_atom_site_label
_atom_site_fract_x
_atom_site_fract_y
_atom_site_fract_z
Ba1 0.000 0.000 0.000
Zn1 0.000 0.500 0.500
Pt1 0.500 0.500 0.500
```

The formation energy is -0.4482 eV/atom. The value obtained for the magnetization is 0.0 μB per cell. As for the total DFT energy (no corrections): -14.03 eV for the cell shown. The calculation puts the energy above the most stable polymorph in this dataset at 11 meV per atom.

DFT (PBE) results for crystalline PrZn2P2Pt7 at its relaxed geometry.

Geometry as CIF:
```
data_PrZn2P2Pt7
_cell_length_a 5.615
_cell_length_b 5.609
_cell_length_c 14.155
_cell_angle_alpha 90.00
_cell_angle_beta 98.45
_cell_angle_gamma 90.00
_symmetry_space_group_name_H-M 'C 1 2/m 1'
_symmetry_Int_Tables_number 12
loop_
_symmetry_equiv_pos_as_xyz
'x,y,z'
'-x,-y,-z'
'-x,y,-z'
'x,-y,z'
'x+1/2,y+1/2,z'
'-x+1/2,-y+1/2,-z'
'-x+1/2,y+1/2,-z'
'x+1/2,-y+1/2,z'
loop_
_atom_site_label
_atom_site_fract_x
_atom_site_fract_y
_atom_site_fract_z
Pr1 0.000 0.000 0.000
Zn1 0.099 0.000 0.417
P1 0.096 0.500 0.261
Pt1 0.000 0.500 0.000
Pt2 0.111 0.500 0.420
Pt3 0.188 0.250 0.832
```

The formation energy is -0.5154 eV/atom. The value obtained for the magnetization is 0.0 μB per cell. As for the total DFT energy (no corrections): -133.24 eV for the cell shown.

DFT (PBE) results for crystalline Ba2TeCl at its relaxed geometry.

Geometry as CIF:
```
data_Ba2TeCl
_cell_length_a 8.186
_cell_length_b 8.186
_cell_length_c 8.186
_cell_angle_alpha 90.00
_cell_angle_beta 90.00
_cell_angle_gamma 90.00
_symmetry_space_group_name_H-M 'F -4 3 m'
_symmetry_Int_Tables_number 216
_symmetry_space_group_name_Hall 'F -4 2 3'
loop_
_atom_site_label
_atom_site_fract_x
_atom_site_fract_y
_atom_site_fract_z
Ba1 0.000 0.000 0.000
Ba2 0.250 0.250 0.250
Te1 0.250 0.250 0.750
Cl1 0.000 0.000 0.500
```

The value obtained for the magnetization is 0.0 μB per cell. As for the total DFT energy (no corrections): -51.31 eV for the cell shown. The calculation puts the energy above the most stable polymorph in this dataset at 788 meV per atom. The raw formation energy is -1.00 eV per atom.

DFT (PBE) results for crystalline Pm2ErU2Ru5 at its relaxed geometry.

Geometry as CIF:
```
data_Pm2ErU2Ru5
_cell_length_a 10.778
_cell_length_b 10.778
_cell_length_c 3.548
_cell_angle_alpha 90.00
_cell_angle_beta 90.00
_cell_angle_gamma 90.00
_symmetry_space_group_name_H-M 'P 4/m b m'
_symmetry_Int_Tables_number 127
_symmetry_space_group_name_Hall '-P 4 2ab'
loop_
_atom_site_label
_atom_site_fract_x
_atom_site_fract_y
_atom_site_fract_z
Pm1 0.175 0.325 0.000
Er1 0.000 0.000 0.000
U1 0.136 0.636 0.000
Ru1 0.000 0.500 0.500
Ru2 0.051 0.786 0.500
```

The formation energy is -0.2475 eV/atom. The value obtained for the magnetization is 0.0 μB per cell. As for the total DFT energy (no corrections): -170.99 eV for the cell shown.

DFT (PBE) results for crystalline Y2PaRu3 at its relaxed geometry.

Geometry as CIF:
```
data_Y2PaRu3
_cell_length_a 4.8326
_cell_length_b 4.8326
_cell_length_c 5.9320
_cell_angle_alpha 90.00
_cell_angle_beta 90.00
_cell_angle_gamma 120.00
_symmetry_space_group_name_H-M 'P -3 m 1'
_symmetry_Int_Tables_number 164
_symmetry_space_group_name_Hall '-P 3 2"'
loop_
_atom_site_label
_atom_site_fract_x
_atom_site_fract_y
_atom_site_fract_z
Y1 0.3333 0.6667 0.1567
Pa1 0.0000 0.0000 0.5000
Ru1 0.0000 0.0000 0.0000
Ru2 0.3333 0.6667 0.6465
```

The formation energy is -0.4472 eV/atom. The value obtained for the magnetization is 0.0 μB per cell. As for the total DFT energy (no corrections): -52.93 eV for the cell shown. The calculation puts the energy above the most stable polymorph in this dataset at 0 meV per atom.

DFT (PBE) results for crystalline PmCdH7Rh2 at its relaxed geometry.

Geometry as CIF:
```
data_PmCdH7Rh2
_cell_length_a 3.684
_cell_length_b 3.684
_cell_length_c 16.683
_cell_angle_alpha 90.00
_cell_angle_beta 90.00
_cell_angle_gamma 90.00
_symmetry_space_group_name_H-M 'I -4 m 2'
_symmetry_Int_Tables_number 119
_symmetry_space_group_name_Hall 'I -4 -2'
loop_
_atom_site_label
_atom_site_fract_x
_atom_site_fract_y
_atom_site_fract_z
Pm1 0.000 0.000 0.000
Cd1 0.000 0.500 0.250
H1 0.000 0.000 0.286
H2 0.000 0.000 0.500
H3 0.000 0.500 0.100
H4 0.000 0.500 0.605
Rh1 0.000 0.000 0.391
```

The value obtained for the magnetization is 0.0 μB per cell. As for the total DFT energy (no corrections): -93.63 eV for the cell shown.

DFT (PBE) results for crystalline Zr4Ag3 at its relaxed geometry.

Geometry as CIF:
```
data_Zr4Ag3
_cell_length_a 3.373
_cell_length_b 3.373
_cell_length_c 25.766
_cell_angle_alpha 90.00
_cell_angle_beta 90.00
_cell_angle_gamma 90.00
_symmetry_space_group_name_H-M 'I 4/m m m'
_symmetry_Int_Tables_number 139
_symmetry_space_group_name_Hall '-I 4 2'
loop_
_atom_site_label
_atom_site_fract_x
_atom_site_fract_y
_atom_site_fract_z
Zr1 0.000 0.000 0.073
Zr2 0.000 0.000 0.349
Ag1 0.000 0.000 0.219
Ag2 0.000 0.000 0.500
```

The formation energy is -0.0914 eV/atom. The value obtained for the magnetization is 0.0 μB per cell. As for the total DFT energy (no corrections): -86.77 eV for the cell shown. The calculation puts the energy above the most stable polymorph in this dataset at 0 meV per atom.